{"formula": "PmSm2YHo2", "functional": "PBE", "state": "optimized geometry", "lattice_angstrom": [[3.4161, 0.0000, 0.0000], [0.0000, 6.5876, 0.0000], [0.0000, 0.0000, 17.9356]], "species": ["Sm", "Sm", "Sm", "Sm", "Ho", "Ho", "Ho", "Ho", "Pm", "Pm", "Y", "Y"], "fractional_positions": [[0.0000, 0.7710, 0.1857], [0.5000, 0.2710, 0.3143], [0.0000, 0.2290, 0.8143], [0.5000, 0.7290, 0.6857], [0.5000, 0.2260, 0.6475], [0.5000, 0.7740, 0.3525], [0.0000, 0.2740, 0.1475], [0.0000, 0.7260, 0.8525], [0.5000, 0.5000, 0.5000], [0.0000, 0.0000, 0.0000], [0.5000, 0.5000, 0.0000], [0.0000, 0.0000, 0.5000]], "formation_energy_kj_per_mol_atoms": 25.6, "n_ef_per_ev_cell": 20.39}